No. 1
DFT (PBE-GGA) results for crystalline KLa3Be at its relaxed geometry.

Cell lengths 5.779, 5.779, 5.779 Å; angles 90.00, 90.00, 90.00 degrees
Space group Pm-3m (No. 221)
Asymmetric unit:
K 0.000 0.000 0.000 x1
La 0.000 0.500 0.500 x3
Be 0.500 0.500 0.500 x1

distance to the lowest polymorph of the same formula	0.000	eV/atom
volume	193.0	Å³ per cell
magnetic moment	0.00	Bohr magnetons per cell

No. 2
DFT (PBE-GGA) results for crystalline La2BiPbO at its relaxed geometry.

Cell lengths 5.010, 5.010, 5.364 Å; angles 90.00, 90.00, 90.00 degrees
Space group P4/mmm (No. 123)
Asymmetric unit:
La 0.000 0.500 0.000 x2
Bi 0.000 0.000 0.500 x1
Pb 0.500 0.500 0.500 x1
O 0.500 0.500 0.000 x1

volume	134.6	Å³ per cell
magnetic moment	0.00	Bohr magnetons per cell
raw formation energy	-1.23	eV/atom

No. 3
DFT (PBE-GGA) results for crystalline LaPrGePd at its relaxed geometry.

Cell lengths 4.381, 4.185, 11.464 Å; angles 90.00, 90.00, 90.00 degrees
Space group Amm2 (No. 38)
Asymmetric unit:
La 0.000 0.000 0.000 x2
Pr 0.500 0.000 0.275 x2
Ge 0.000 0.000 0.718 x2
Pd 0.500 0.000 0.561 x2

distance to the lowest polymorph of the same formula	0.000	eV/atom
volume	210.2	Å³ per cell
magnetic moment	0.00	Bohr magnetons per cell

No. 4
DFT (PBE-GGA) results for crystalline CrHgAs2 at its relaxed geometry.

Cell lengths 3.0291, 3.0291, 30.4911 Å; angles 90.00, 90.00, 120.00 degrees
Space group R-3m (No. 166, hexagonal axes)
Asymmetric unit:
Cr 0.0000 0.0000 0.0000 x3
Hg 0.0000 0.0000 0.5000 x3
As 0.0000 0.0000 0.2757 x6

final energy	-57.3	eV per cell
volume	242.3	Å³ per cell
magnetic moment	1.80	Bohr magnetons per cell

No. 5
DFT (PBE-GGA) results for crystalline Dy2NiOs at its relaxed geometry.

Cell lengths 3.2835, 3.2835, 27.7746 Å; angles 90.00, 90.00, 120.00 degrees
Space group R-3m (No. 166, hexagonal axes)
Asymmetric unit:
Dy 0.0000 0.0000 0.0915 x6
Ni 0.0000 0.0000 0.0000 x3
Os 0.0000 0.0000 0.5000 x3

final energy	-73.1	eV per cell
volume	259.3	Å³ per cell
magnetic moment	0.00	Bohr magnetons per cell

No. 6
DFT (PBE-GGA) results for crystalline LaAu2Cl at its relaxed geometry.

Cell lengths 4.093, 4.093, 5.449 Å; angles 90.00, 90.00, 90.00 degrees
Space group P4/mmm (No. 123)
Asymmetric unit:
La 0.000 0.000 0.000 x1
Au 0.000 0.500 0.500 x2
Cl 0.500 0.500 0.000 x1

distance to the lowest polymorph of the same formula	0.073	eV/atom
volume	91.3	Å³ per cell
magnetic moment	0.00	Bohr magnetons per cell
raw formation energy	-0.94	eV/atom

No. 7
DFT (PBE-GGA) results for crystalline Sc2RuPtC at its relaxed geometry.

Cell lengths 4.527, 4.527, 3.845 Å; angles 90.00, 90.00, 90.00 degrees
Space group P4/mmm (No. 123)
Asymmetric unit:
Sc 0.000 0.500 0.000 x2
Ru 0.000 0.000 0.500 x1
Pt 0.500 0.500 0.500 x1
C 0.000 0.000 0.000 x1

distance to the lowest polymorph of the same formula	0.000	eV/atom
volume	78.8	Å³ per cell
magnetic moment	0.00	Bohr magnetons per cell

No. 8
DFT (PBE-GGA) results for crystalline TcMo2Pb at its relaxed geometry.

Cell lengths 3.308, 4.428, 4.701 Å; angles 90.00, 90.00, 90.00 degrees
Space group Pmmm (No. 47)
Asymmetric unit:
Tc 0.000 0.000 0.000 x1
Mo 0.000 0.500 0.500 x1
Mo 0.500 0.000 0.500 x1
Pb 0.500 0.500 0.000 x1

final energy	-33.3	eV per cell
volume	68.9	Å³ per cell
magnetic moment	0.00	Bohr magnetons per cell

No. 9
DFT (PBE-GGA) results for crystalline LiPmAl2 at its relaxed geometry.

Cell lengths 6.853, 4.565, 10.706 Å; angles 90.00, 90.00, 90.00 degrees
Space group Pnma (No. 62)
Asymmetric unit:
Li 0.050 0.250 0.110 x4
Pm 0.242 0.750 0.340 x4
Al 0.064 0.750 0.640 x4
Al 0.227 0.250 0.549 x4

final energy	-62.0	eV per cell
volume	334.9	Å³ per cell
magnetic moment	0.00	Bohr magnetons per cell

No. 10
DFT (PBE-GGA) results for crystalline LiBeS2Cl at its relaxed geometry.

Cell lengths 4.007, 4.007, 7.013 Å; angles 90.00, 90.00, 90.00 degrees
Space group P4/mmm (No. 123)
Asymmetric unit:
Li 0.000 0.000 0.000 x1
Be 0.500 0.500 0.500 x1
S 0.000 0.500 0.500 x2
Cl 0.500 0.500 0.000 x1

distance to the lowest polymorph of the same formula	0.000	eV/atom
volume	112.6	Å³ per cell
magnetic moment	0.00	Bohr magnetons per cell
raw formation energy	-0.45	eV/atom

No. 11
DFT (PBE-GGA) results for crystalline Cs2PuNp2Te6 at its relaxed geometry.

Cell lengths 7.812, 13.548, 9.465 Å; angles 90.00, 105.87, 90.00 degrees
Space group C2/m (No. 12)
Asymmetric unit:
Cs 0.000 0.165 0.000 x4
Pu 0.000 0.000 0.500 x2
Np 0.000 0.333 0.500 x4
Te 0.224 0.500 0.687 x4
Te 0.231 0.168 0.687 x8

volume	963.5	Å³ per cell
magnetic moment	24.00	Bohr magnetons per cell
raw formation energy	-0.92	eV/atom

No. 12
DFT (PBE-GGA) results for crystalline ZrSc2Mo at its relaxed geometry.

Cell lengths 3.488, 5.092, 9.676 Å; angles 90.00, 90.00, 90.00 degrees
Space group Cmm2 (No. 35)
Asymmetric unit:
Zr 0.000 0.000 0.000 x2
Sc 0.000 0.000 0.567 x2
Sc 0.000 0.500 0.278 x2
Mo 0.000 0.500 0.786 x2

distance to the lowest polymorph of the same formula	0.063	eV/atom
volume	171.8	Å³ per cell
magnetic moment	0.00	Bohr magnetons per cell